(1)
The following is a DFT calculation (GGA-PBE) of an optimized crystal structure of BaCaAg.

Structure (POSCAR):
```
BaCaAg
1.0
-2.732 2.531 5.772
2.136 -6.687 3.943
6.511 5.878 0.505
Ca Ba Ag
4 4 4
Cartesian
0.449 1.562 2.475
1.606 -2.220 8.769
5.465 0.159 7.745
4.308 3.942 1.452
2.703 -1.216 4.912
-0.750 0.652 6.546
3.211 2.937 5.308
6.664 1.070 3.674
5.938 4.654 4.072
2.391 0.785 8.176
-0.024 -2.932 6.148
3.523 0.936 2.044
```

ΔE_f ... -0.196 eV/atom
SG ... P2_1/c
DFT total energy ... -7.362 eV per formula unit

---

(2)
The following is a DFT calculation (GGA-PBE) of an optimized crystal structure of La2Zn12Ni5.

Structure (POSCAR):
```
La2Zn12Ni5
1.0
-2.844 -3.500 4.958
-0.645 -5.686 -3.489
5.690 -2.777 2.200
Ni Zn La
5 12 2
Cartesian
-0.323 -2.843 -1.745
0.231 -1.254 0.384
2.845 -1.388 1.100
1.970 -10.709 3.284
-1.422 -1.750 2.479
2.939 -6.057 -0.175
0.412 -7.050 -0.576
-1.526 -6.435 1.268
1.788 -4.913 4.244
3.908 -3.595 0.599
-0.738 -5.906 3.843
1.137 -4.868 -1.889
-0.443 -3.297 4.182
-1.264 -5.071 -1.113
3.289 -2.980 2.976
3.726 -5.528 2.400
-2.226 -4.115 2.582
0.741 -4.030 1.236
1.459 -7.933 2.432
```

ΔE_f ... -0.285 eV/atom
SG ... R-3m
DFT total energy ... -59.458 eV per formula unit